Here is a PBEsol-optimized structure of LaZr2Fe from the Alexandria database. Energies are from meta-GGA SCAN.

a = 3.3700 Å, b = 5.0707 Å, c = 9.8488 Å
α = 90.00°, β = 90.00°, γ = 90.00°
With the nearest neighbours (Å) after each atom.
Space group Imm2 (No. 44)
Symmetry-distinct sites (fractional):
La 0.0000 0.0000 0.0000 (multiplicity 2)  2 Fe 2.73
Zr 0.0000 0.0000 0.3978 (multiplicity 2)  2 Fe 2.44
Zr 0.0000 0.5000 0.2052 (multiplicity 2)  4 Fe 3.05, 4 Zr 3.17-3.37, 4 La 3.24-3.36
Fe 0.0000 0.5000 0.7180 (multiplicity 2)  2 Zr 2.44, 2 La 2.73

Values from the calculation:
Fermi-level density of states = 3.45 states/eV/f.u.
ΔE to the lowest computed polymorph = 0.000 eV per atom

***

Here is a PBEsol-optimized structure of La2ZrFe from the Alexandria database. Energies are from meta-GGA SCAN.

a = 3.5322 Å, b = 5.2744 Å, c = 9.9462 Å
α = 90.00°, β = 90.00°, γ = 90.00°
With the nearest neighbours (Å) after each atom.
Space group Immm (No. 71)
Symmetry-distinct sites (fractional):
La 0.0000 0.0000 0.1938 (multiplicity 4)  2 Fe 2.61
Zr 0.0000 0.5000 0.0000 (multiplicity 2)  4 Fe 3.17, 8 La 3.27-3.52, 2 Zr 3.53
Fe 0.0000 0.5000 0.5000 (multiplicity 2)  4 La 2.61

Values from the calculation:
Fermi-level density of states = 3.18 states/eV/f.u.
ΔE to the lowest computed polymorph = 0.176 eV per atom

***

Here is a PBEsol-optimized structure of LaZr2Fe from the Alexandria database. Energies are from meta-GGA SCAN.

a = 4.1572 Å, b = 4.1572 Å, c = 4.8554 Å
α = 90.00°, β = 90.00°, γ = 90.00°
With the nearest neighbours (Å) after each atom.
Space group P4/mmm (No. 123)
Symmetry-distinct sites (fractional):
La 0.0000 0.0000 0.0000 (multiplicity 1)  4 Fe 2.94, 8 Zr 3.20
Zr 0.0000 0.5000 0.5000 (multiplicity 2)  4 Zr 2.94, 4 La 3.20, 4 Fe 3.20
Fe 0.5000 0.5000 0.0000 (multiplicity 1)  4 La 2.94, 8 Zr 3.20

Values from the calculation:
Fermi-level density of states = 4.37 states/eV/f.u.
ΔE to the lowest computed polymorph = 0.196 eV per atom